No. 1
Material: LiMoSeBr2
Method: DFT, PBE
State: optimized geometry

Magnetic moment, μB/cell: 2.63
Formation energy (no corrections), eV per atom: -0.28

abc: 5.4095 5.4095 4.9059
angles: 90.00 90.00 90.00
Positions (direct):
Li (0.0000, 0.0000, 0.0000)
Mo (0.5000, 0.5000, 0.5000)
Se (0.5000, 0.5000, 0.0000)
Br (0.0000, 0.5000, 0.5000)
Br (0.5000, 0.0000, 0.5000)

=====

No. 2
Material: SrLiMo2Br
Method: DFT, PBE
State: optimized geometry

Magnetic moment, μB/cell: 3.03
Formation energy (no corrections), eV per atom: 1.22

abc: 4.3767 4.3767 6.4609
angles: 90.00 90.00 90.00
Positions (direct):
Sr (0.0000, 0.0000, 0.0000)
Li (0.0000, 0.0000, 0.5000)
Mo (0.0000, 0.5000, 0.5000)
Mo (0.5000, 0.0000, 0.5000)
Br (0.5000, 0.5000, 0.0000)

=====

No. 3
Material: LiTl2MoBr6
Method: DFT, PBE
State: optimized geometry

Magnetic moment, μB/cell: 6.00
Formation energy (no corrections), eV per atom: -0.84

abc: 13.5142 13.5142 13.5142
angles: 32.19 32.19 32.19
Positions (direct):
Li (0.0824, 0.0824, 0.0824)
Li (0.9176, 0.9176, 0.9176)
Tl (0.1933, 0.1933, 0.1933)
Tl (0.3671, 0.3671, 0.3671)
Tl (0.6329, 0.6329, 0.6329)
Tl (0.8067, 0.8067, 0.8067)
Mo (0.0000, 0.0000, 0.0000)
Mo (0.5000, 0.5000, 0.5000)
Br (0.1233, 0.1233, 0.6342)
Br (0.1233, 0.6342, 0.1233)
Br (0.2125, 0.7030, 0.7030)
Br (0.2970, 0.2970, 0.7875)
Br (0.2970, 0.7875, 0.2970)
Br (0.3658, 0.8767, 0.8767)
Br (0.6342, 0.1233, 0.1233)
Br (0.7030, 0.2125, 0.7030)
Br (0.7030, 0.7030, 0.2125)
Br (0.7875, 0.2970, 0.2970)
Br (0.8767, 0.3658, 0.8767)
Br (0.8767, 0.8767, 0.3658)

=====

Q: The highest magnetic moment belongs to which entry?
A: LiTl2MoBr6

=====

Q: magnetic moment of number 3 (LiTl2MoBr6)?
A: 6.00 μB/cell

=====

Q: Which of these has the lowest magnetic moment?
A: LiMoSeBr2

=====

Q: Which of these has the highest magnetic moment?
A: LiTl2MoBr6